Record 1
Computed, not measured: a crystal of Ti3NbCo relaxed with PBEsol at the meta-GGA SCAN level of DFT.

a = 4.615 Å, b = 4.615 Å, c = 4.615 Å
α = 90.00°, β = 90.00°, γ = 90.00°
Space group Pm-3m (No. 221)
One atom of each set of equivalent atoms:
Ti1 0.000 0.000 0.500 [3 per cell]
Nb1 0.000 0.000 0.000 [1 per cell]
Co1 0.500 0.500 0.500 [1 per cell]

Computed properties:
ΔH_f (0 K): 1256 meV per atom


Record 2
Computed, not measured: a crystal of NbVCo6 relaxed with PBEsol at the meta-GGA SCAN level of DFT.

a = 5.0082 Å, b = 5.0082 Å, c = 36.4802 Å
α = 90.00°, β = 90.00°, γ = 120.00°
Space group R3m (No. 160, hexagonal axes)
One atom of each set of equivalent atoms:
Nb1 0.0000 0.0000 0.0000 [3 per cell]
Nb2 0.0000 0.0000 0.2177 [3 per cell]
Nb3 0.0000 0.0000 0.7184 [3 per cell]
V1 0.0000 0.0000 0.1089 [3 per cell]
V2 0.0000 0.0000 0.5003 [3 per cell]
V3 0.0000 0.0000 0.6084 [3 per cell]
Co1 0.0021 0.5011 0.6082 [9 per cell]
Co2 0.0060 0.5030 0.1104 [9 per cell]
Co3 0.0145 0.5073 0.4964 [9 per cell]
Co4 0.0149 0.5074 0.9961 [9 per cell]
Co5 0.1716 0.3432 0.5531 [9 per cell]
Co6 0.1744 0.3488 0.0552 [9 per cell]

Computed properties:
ΔH_f (0 K): 4 meV per atom


Record 3
Computed, not measured: a crystal of Nd2Co3 relaxed with PBEsol at the meta-GGA SCAN level of DFT.

a = 4.749 Å, b = 9.933 Å, c = 7.483 Å
α = 90.00°, β = 90.00°, γ = 90.00°
Space group Cmce (No. 64)
One atom of each set of equivalent atoms:
Nd1 0.000 0.154 0.093 [8 per cell]
Co1 0.000 0.000 0.500 [4 per cell]
Co2 0.250 0.090 0.750 [8 per cell]

Computed properties:
ΔH_f (0 K): -11 meV per atom


Record 4
Computed, not measured: a crystal of NdCoO3 relaxed with PBEsol at the meta-GGA SCAN level of DFT.

a = 5.332 Å, b = 7.501 Å, c = 5.300 Å
α = 90.00°, β = 90.00°, γ = 90.00°
Space group Pnma (No. 62)
One atom of each set of equivalent atoms:
Nd1 0.045 0.250 0.009 [4 per cell]
Co1 0.000 0.000 0.500 [4 per cell]
O1 0.008 0.750 0.426 [4 per cell]
O2 0.212 0.539 0.788 [8 per cell]

Computed properties:
formation energy from raw total energies: -2.637 eV per atom


Record 5
Computed, not measured: a crystal of Nd2CoRuO6 relaxed with PBEsol at the meta-GGA SCAN level of DFT.

a = 5.241 Å, b = 5.717 Å, c = 9.177 Å
α = 90.00°, β = 124.45°, γ = 90.00°
Space group P2_1/c (No. 14)
One atom of each set of equivalent atoms:
Nd1 0.228 0.070 0.251 [4 per cell]
Co1 0.500 0.000 0.000 [2 per cell]
Ru1 0.000 0.000 0.500 [2 per cell]
O1 0.151 0.194 0.955 [4 per cell]
O2 0.266 0.708 0.953 [4 per cell]
O3 0.347 0.027 0.755 [4 per cell]

Computed properties:
formation energy from raw total energies: -2.520 eV per atom


Record 6
Computed, not measured: a crystal of Sr3NdCo2O8 relaxed with PBEsol at the meta-GGA SCAN level of DFT.

a = 5.292 Å, b = 5.293 Å, c = 12.269 Å
α = 90.00°, β = 90.00°, γ = 90.00°
Space group Amm2 (No. 38)
One atom of each set of equivalent atoms:
Sr1 0.000 0.000 0.000 [2 per cell]
Sr2 0.000 0.000 0.285 [2 per cell]
Sr3 0.500 0.000 0.789 [2 per cell]
Nd1 0.500 0.000 0.506 [2 per cell]
Co1 0.000 0.000 0.646 [2 per cell]
Co2 0.500 0.000 0.147 [2 per cell]
O1 0.000 0.000 0.484 [2 per cell]
O2 0.000 0.000 0.801 [2 per cell]
O3 0.255 0.245 0.640 [8 per cell]
O4 0.500 0.000 0.312 [2 per cell]
O5 0.500 0.000 0.987 [2 per cell]

Computed properties:
formation energy from raw total energies: -2.555 eV per atom


Record 7
Computed, not measured: a crystal of Nd2Co12P7 relaxed with PBEsol at the meta-GGA SCAN level of DFT.

a = 8.9707 Å, b = 8.9707 Å, c = 3.5754 Å
α = 90.00°, β = 90.00°, γ = 120.00°
Space group P-6 (No. 174)
One atom of each set of equivalent atoms:
Nd1 0.0000 0.0000 0.0000 [1 per cell]
Nd2 0.3333 0.6667 0.5000 [1 per cell]
Co1 0.0474 0.7652 0.5000 [3 per cell]
Co2 0.0990 0.3916 0.0000 [3 per cell]
Co3 0.3958 0.2131 0.0000 [3 per cell]
Co4 0.5392 0.1030 0.5000 [3 per cell]
P1 0.0680 0.6267 0.0000 [3 per cell]
P2 0.2693 0.0411 0.5000 [3 per cell]
P3 0.6667 0.3333 0.0000 [1 per cell]

Computed properties:
ΔH_f (0 K): -679 meV per atom


Record 8
Computed, not measured: a crystal of NdCo4P12 relaxed with PBEsol at the meta-GGA SCAN level of DFT.

a = 7.726 Å, b = 7.726 Å, c = 7.726 Å
α = 90.00°, β = 90.00°, γ = 90.00°
Space group Im-3 (No. 204)
One atom of each set of equivalent atoms:
Nd1 0.000 0.000 0.000 [2 per cell]
Co1 0.250 0.250 0.250 [8 per cell]
P1 0.000 0.151 0.354 [24 per cell]

Computed properties:
ΔH_f (0 K): -540 meV per atom